No. 1
Below is an optimized crystal structure of AlZnSeBr2, with properties calculated at the PBE-GGA level.

Calculated values
- Raw total energy: -2.59 eV per atom
- Offset from the most stable computed form: 0 meV per atom
- Calculated volume: 128.55 Å³/cell
- Total magnetization: 0.00 μB per formula unit
- ρ: 4.278 Mg/m³
- Formation energy from raw total energies: -20.9 kJ/mol of atoms

Cell: 5.0028 5.0028 5.1361 Å, 90.00 90.00 90.00°
With the nearest neighbours (Å) after each atom.
Space group P4/mmm (No. 123)
One atom of each set of equivalent atoms:
Al 0.0000 0.0000 0.0000 [1 per cell]  4 Br 2.50, 2 Se 2.57
Zn 0.5000 0.5000 0.5000 [1 per cell]  4 Se 3.54, 8 Br 3.58
Se 0.0000 0.0000 0.5000 [1 per cell]  2 Al 2.57
Br 0.0000 0.5000 0.0000 [2 per cell]  2 Al 2.50



No. 2
Below is an optimized crystal structure of SrTeW2, with properties calculated at the PBE-GGA level.

Calculated values
- Raw total energy: -6.37 eV per atom
- Calculated volume: 173.98 Å³/cell
- Total magnetization: 0.00 μB per formula unit
- ρ: 11.127 Mg/m³
- Formation energy from raw total energies: 126.8 kJ/mol of atoms

Cell: 3.6364 4.9565 9.6530 Å, 90.00 90.00 90.00°
With the nearest neighbours (Å) after each atom.
Space group Cmmm (No. 65)
One atom of each set of equivalent atoms:
Sr 0.0000 0.0000 0.0000 [2 per cell]  4 Sr 3.07, 4 W 3.27
Te 0.0000 0.0000 0.5000 [2 per cell]  4 W 2.78, 4 Te 3.07
W 0.0000 0.5000 0.2817 [4 per cell]  2 Te 2.78, 4 W 3.07



No. 3
Below is an optimized crystal structure of AlAg2Rh, with properties calculated at the PBE-GGA level.

Calculated values
- Raw total energy: -4.12 eV per atom
- Energy of formation from the pure elements: 0.31 eV per formula unit
- Calculated volume: 64.94 Å³/cell
- Total magnetization: 0.00 μB per formula unit
- ρ: 8.838 Mg/m³

Cell: 3.3958 3.3958 5.6315 Å, 90.00 90.00 90.00°
With the nearest neighbours (Å) after each atom.
Space group P4/mmm (No. 123)
One atom of each set of equivalent atoms:
Al 0.0000 0.0000 0.0000 [1 per cell]  8 Ag 2.77, 2 Rh 2.82
Ag 0.5000 0.5000 0.2449 [2 per cell]  2 Ag 2.76-2.87, 4 Al 2.77, 4 Rh 2.80
Rh 0.0000 0.0000 0.5000 [1 per cell]  8 Ag 2.80, 2 Al 2.82



No. 4
Below is an optimized crystal structure of Y2BeNi, with properties calculated at the PBE-GGA level.

Calculated values
- Raw total energy: -5.49 eV per atom
- Energy of formation from the pure elements: 0.48 eV per formula unit
- Calculated volume: 269.01 Å³/cell
- Total magnetization: 0.00 μB per formula unit
- ρ: 4.547 Mg/m³

Cell: 3.8882 3.8882 20.5473 Å, 90.00 90.00 120.00°
With the nearest neighbours (Å) after each atom.
Space group R-3m (No. 166, hexagonal axes)
One atom of each set of equivalent atoms:
Y 0.0000 0.0000 0.2455 [6 per cell]  3 Ni 2.77, 3 Be 2.88
Be 0.0000 0.0000 0.0000 [3 per cell]  6 Y 2.88
Ni 0.0000 0.0000 0.5000 [3 per cell]  6 Y 2.77



No. 5
Below is an optimized crystal structure of ScHgB3, with properties calculated at the PBE-GGA level.

Calculated values
- Raw total energy: -3.47 eV per atom
- Energy of formation from the pure elements: 9.32 eV per formula unit
- Offset from the most stable computed form: 0 meV per atom
- Calculated volume: 81.40 Å³/cell
- Total magnetization: 0.00 μB per formula unit
- ρ: 5.671 Mg/m³

Cell: 4.3338 4.3338 4.3338 Å, 90.00 90.00 90.00°
With the nearest neighbours (Å) after each atom.
Space group Pm-3m (No. 221)
One atom of each set of equivalent atoms:
Sc 0.0000 0.0000 0.0000 [1 per cell]  12 B 3.06
Hg 0.5000 0.5000 0.5000 [1 per cell]  6 B 2.17
B 0.0000 0.5000 0.5000 [3 per cell]  2 Hg 2.17



No. 6
Below is an optimized crystal structure of TbPaCo, with properties calculated at the PBE-GGA level.

Calculated values
- Raw total energy: -7.22 eV per atom
- Energy of formation from the pure elements: -0.41 eV per formula unit
- Offset from the most stable computed form: 79 meV per atom
- Calculated volume: 130.94 Å³/cell
- Total magnetization: 0.00 μB per formula unit
- ρ: 11.386 Mg/m³

Cell: 3.4289 3.4289 11.1365 Å, 90.00 90.00 90.00°
With the nearest neighbours (Å) after each atom.
Space group I4mm (No. 107)
One atom of each set of equivalent atoms:
Tb 0.0000 0.0000 0.0000 [2 per cell]  5 Pa 3.25-3.35, 5 Co 3.30-3.33, 4 Tb 3.43
Pa 0.0000 0.0000 0.2920 [2 per cell]  4 Co 2.63
Co 0.0000 0.0000 0.7009 [2 per cell]  4 Pa 2.63



No. 7
Below is an optimized crystal structure of Ac4Ru2Au, with properties calculated at the PBE-GGA level.

Calculated values
- Raw total energy: -5.80 eV per atom
- Energy of formation from the pure elements: -2.37 eV per formula unit
- Offset from the most stable computed form: 0 meV per atom
- Calculated volume: 879.42 Å³/cell
- Total magnetization: 0.00 μB per formula unit
- ρ: 9.872 Mg/m³

Cell: 4.3557 13.8568 14.5704 Å, 90.00 90.00 90.00°
With the nearest neighbours (Å) after each atom.
Space group Cmcm (No. 63)
One atom of each set of equivalent atoms:
Ac 0.0000 0.0000 0.0000 [4 per cell]  4 Ru 2.96
Ac 0.0000 0.2708 0.1111 [8 per cell]  3 Ru 3.01-3.04, 2 Au 3.36
Ac 0.0000 0.4419 0.7500 [4 per cell]  2 Ru 2.78
Ru 0.0000 0.3758 0.5697 [8 per cell]  6 Ac 2.78-3.04
Au 0.0000 0.1163 0.7500 [4 per cell]  6 Ac 3.25-3.36



No. 8
Below is an optimized crystal structure of LiPr2Pa, with properties calculated at the PBE-GGA level.

Calculated values
- Raw total energy: -5.08 eV per atom
- Energy of formation from the pure elements: 0.63 eV per formula unit
- Offset from the most stable computed form: 0 meV per atom
- Calculated volume: 115.68 Å³/cell
- Total magnetization: 0.00 μB per formula unit
- ρ: 7.461 Mg/m³

Cell: 3.4686 3.4686 9.6151 Å, 90.00 90.00 90.00°
With the nearest neighbours (Å) after each atom.
Space group P4/mmm (No. 123)
One atom of each set of equivalent atoms:
Li 0.0000 0.0000 0.0000 [1 per cell]  8 Pr 3.43, 4 Li 3.47
Pr 0.5000 0.5000 0.2491 [2 per cell]  4 Li 3.43, 4 Pa 3.44, 4 Pr 3.47
Pa 0.0000 0.0000 0.5000 [1 per cell]  8 Pr 3.44, 4 Pa 3.47